Computed, not measured: a relaxed PrEr4S6 crystal at the PBE level of DFT.

## Properties
- Total DFT energy (no corrections): -6.378 eV per atom

Cell lengths 3.8543, 12.7734, 19.7857 Å; angles 90.00, 90.00, 90.00 degrees
With the nearest neighbours (Å) after each atom.
Space group Cmcm (No. 63)
One atom of each set of equivalent atoms:
Pr (0.0000, 0.1541, 0.2500)  6 S 2.85-2.92
Er (0.0000, 0.0926, 0.6259)  6 S 2.71-2.76
Er (0.0000, 0.3616, 0.5391)  6 S 2.72-2.79
S (0.0000, 0.0000, 0.0000)  6 Er 2.73-2.76
S (0.0000, 0.1814, 0.7500)  2 Er 2.71, 2 Pr 2.85
S (0.0000, 0.2679, 0.0885)  5 Er 2.72-2.79
S (0.0000, 0.4538, 0.6634)  3 Er 2.72-2.73, 2 Pr 2.92